A plane-wave DFT calculation with PBE-GGA was carried out for an optimized crystal structure of NaNi2Os.

Unit cell a=4.262 b=4.262 c=4.262 alpha=60.00 beta=60.00 gamma=60.00
Element x y z (fractional)
Na: 0.000 0.000 0.000
Ni: 0.250 0.250 0.250
Ni: 0.750 0.750 0.750
Os: 0.500 0.500 0.500

Values from the calculation:
formation energy = 0.7137 eV/atom
energy relative to the lowest polymorph listed for this composition = 0.00 eV/f.u.
E = -21.3 eV per formula unit
N(E_F) = 5.26 states/eV per cell